This record from the Alexandria database describes an optimized crystal structure of VAgPd2Au. The functional is PBE.

a = 4.5656 Å, b = 4.5656 Å, c = 4.9514 Å
α = 90.00°, β = 90.00°, γ = 90.00°
With the nearest neighbours (Å) after each atom.
Space group P4/mmm (No. 123)
Inequivalent atoms, fractional coordinates:
V 0.0000 0.0000 0.0000  4 Pd 2.28, 2 Ag 2.48
Ag 0.0000 0.0000 0.5000  2 V 2.48
Pd 0.0000 0.5000 0.0000  2 V 2.28
Au 0.5000 0.5000 0.5000  4 Ag 3.23, 8 Pd 3.37

energy of formation from the pure elements: 20.61 kcal/mol of atoms

This record from the Alexandria database describes an optimized crystal structure of VZn2I. The functional is PBE.

a = 8.0564 Å, b = 8.0564 Å, c = 5.6060 Å
α = 90.00°, β = 90.00°, γ = 90.00°
With the nearest neighbours (Å) after each atom.
Space group I-42d (No. 122)
Inequivalent atoms, fractional coordinates:
V 0.0000 0.0000 0.0000  4 Zn 2.79, 2 I 2.80
Zn 0.2225 0.2500 0.1250  2 V 2.79, 2 Zn 2.84, 2 I 3.09
I 0.0000 0.0000 0.5000  2 V 2.80, 4 Zn 3.09

formation energy from raw total energies: 0.510 eV/atom
relative energy among the computed polymorphs: 0.000 eV per atom

This record from the Alexandria database describes an optimized crystal structure of Sr6NiHg. The functional is PBE.

a = 7.5922 Å, b = 7.5922 Å, c = 14.5114 Å
α = 90.00°, β = 90.00°, γ = 120.00°
With the nearest neighbours (Å) after each atom.
Space group P-31c (No. 163)
Inequivalent atoms, fractional coordinates:
Sr 0.0101 0.3231 0.1185  1 Ni 2.97, 1 Hg 3.26
Ni 0.0000 0.0000 0.0000  6 Sr 2.97
Hg 0.3333 0.6667 0.7500  6 Sr 3.26

energy of formation from the pure elements: -2.98 kcal/mol of atoms

This record from the Alexandria database describes an optimized crystal structure of SbHIrNF. The functional is PBE.

a = 2.9526 Å, b = 3.7806 Å, c = 7.1211 Å
α = 103.50°, β = 90.25°, γ = 90.00°
With the nearest neighbours (Å) after each atom.
Space group P1 (No. 1)
Inequivalent atoms, fractional coordinates:
Sb 0.0000 0.0000 0.0000  1 F 2.12
H 0.0028 0.1570 0.5174  1 N 1.06
Ir 0.0033 0.5660 0.3028  2 N 1.93-1.94
N 0.0036 0.0917 0.3645  1 H 1.06
F 0.9973 0.2782 0.7734  1 H 1.77

relative energy among the computed polymorphs: 0.068 eV per atom

This record from the Alexandria database describes an optimized crystal structure of CaYCd2. The functional is PBE.

a = 3.6858 Å, b = 3.6858 Å, c = 30.5597 Å
α = 90.00°, β = 90.00°, γ = 120.00°
With the nearest neighbours (Å) after each atom.
Space group R3m (No. 160, hexagonal axes)
Inequivalent atoms, fractional coordinates:
Ca 0.0000 0.0000 0.0000  3 Cd 3.27
Y 0.0000 0.0000 0.7691  3 Cd 3.23
Cd 0.0000 0.0000 0.2522  3 Cd 3.03, 3 Ca 3.27
Cd 0.0000 0.0000 0.5151  3 Cd 3.03, 3 Y 3.23

energy of formation from the pure elements: -1.24 kcal/mol of atoms

This record from the Alexandria database describes an optimized crystal structure of La4InAuO. The functional is PBE.

a = 7.0401 Å, b = 16.2171 Å, c = 7.0631 Å
α = 90.00°, β = 90.00°, γ = 90.00°
With the nearest neighbours (Å) after each atom.
Space group Cmcm (No. 63)
Inequivalent atoms, fractional coordinates:
La 0.0000 0.0595 0.2500  1 Au 2.93, 1 O 3.20
La 0.0000 0.4196 0.2500  1 O 2.64
La 0.2500 0.2500 0.0000  2 O 2.50
In 0.0000 0.3854 0.7500  5 La 3.16-3.32
Au 0.0000 0.1212 0.7500  5 La 2.93-3.25
O 0.0000 0.2569 0.2500  5 La 2.50-2.64

formation energy from raw total energies: -1.141 eV/atom

This record from the Alexandria database describes an optimized crystal structure of TcTeP2. The functional is PBE.

a = 4.1001 Å, b = 4.2236 Å, c = 4.3880 Å
α = 90.00°, β = 101.76°, γ = 90.00°
With the nearest neighbours (Å) after each atom.
Space group P2/m (No. 10)
Inequivalent atoms, fractional coordinates:
Tc 0.0000 0.0000 0.0000  4 P 2.44, 2 Te 2.68
Te 0.5000 0.0000 0.5000  2 Tc 2.68, 4 P 2.99
P 0.2348 0.5000 0.8669  2 P 2.25-2.45, 2 Tc 2.44

formation energy from raw total energies: 0.175 eV/atom

This record from the Alexandria database describes an optimized crystal structure of LaGeAuF2. The functional is PBE.

a = 4.4469 Å, b = 4.4469 Å, c = 6.4434 Å
α = 90.00°, β = 90.00°, γ = 90.00°
With the nearest neighbours (Å) after each atom.
Space group P4/mmm (No. 123)
Inequivalent atoms, fractional coordinates:
La 0.0000 0.0000 0.0000  4 F 2.22
Ge 0.5000 0.5000 0.5000  4 Au 3.14
Au 0.0000 0.0000 0.5000  4 Ge 3.14, 2 La 3.22
F 0.0000 0.5000 0.0000  2 La 2.22

formation energy from raw total energies: -1.882 eV/atom